VASP calculation (PBE) on Sm6AgRu after structural relaxation.

Cell lengths 5.1237, 5.1237, 17.5272 Å; angles 90.00, 90.00, 90.00 degrees
Space group I4/mmm (No. 139)
Unique sites:
Sm (0.0000, 0.0000, 0.2472) [4 per cell]
Sm (0.0000, 0.5000, 0.0982) [8 per cell]
Ag (0.0000, 0.0000, 0.5000) [2 per cell]
Ru (0.0000, 0.0000, 0.0000) [2 per cell]

Results
Calculated density: 8.0 Mg/m³
Energy above the most stable polymorph in this dataset: 0.000 eV/atom
DOS at the Fermi energy: 1.301 states/eV per atom
Formation energy from the elements: -0.08 eV/atom